A plane-wave DFT calculation with GGA-PBE was carried out for crystalline CdIn3Hg2 at its relaxed geometry.

Output
Offset from the most stable computed form = 0.0 meV/atom
DFT formation energy = 0.01 eV/atom

a b c (Å): 4.7829 13.4654 4.8099
angles (deg): 90.00 90.00 90.00
Space group Cmmm (No. 65)
Symmetry-distinct sites (fractional):
Cd 0.0000 0.0000 0.0000
In 0.0000 0.1673 0.5000
In 0.0000 0.5000 0.5000
Hg 0.0000 0.3365 0.0000